[1]
{
  "formula": "Ba5Na2Si2",
  "functional": "PBE-GGA",
  "state": "optimized geometry",
  "lattice": [[10.635, -4.332, 0.000], [10.635, 4.332, 0.000], [0.000, 0.000, 8.651]],
  "species": ["Ba", "Ba", "Ba", "Ba", "Ba", "Ba", "Ba", "Ba", "Ba", "Ba", "Na", "Na", "Na", "Na", "Si", "Si", "Si", "Si"],
  "fractional_positions": [[0.000, 0.000, 0.000], [0.071, 0.710, 0.680], [0.210, 0.571, 0.180], [0.290, 0.929, 0.680], [0.429, 0.790, 0.180], [0.500, 0.500, 0.500], [0.571, 0.210, 0.820], [0.710, 0.071, 0.320], [0.790, 0.429, 0.820], [0.929, 0.290, 0.320], [0.229, 0.229, 0.000], [0.271, 0.271, 0.500], [0.729, 0.729, 0.500], [0.771, 0.771, 0.000], [0.101, 0.899, 0.399], [0.399, 0.601, 0.899], [0.601, 0.399, 0.101], [0.899, 0.101, 0.601]],
  "crystal_system": "orthorhombic",
  "formation_energy_uncorrected_mev_per_atom": -181
}


[2]
{
  "formula": "AcZnBi",
  "functional": "PBE-GGA",
  "state": "optimized geometry",
  "lattice": [[4.728, 0.000, 0.000], [-2.364, 4.094, 0.000], [0.000, 0.000, 4.816]],
  "species": ["Ac", "Zn", "Bi"],
  "fractional_positions": [[0.000, 0.000, 0.000], [0.333, 0.667, 0.667], [0.667, 0.333, 0.461]],
  "crystal_system": "trigonal",
  "ef_mev_per_atom": -566.6,
  "e_above_lowest_polymorph_mev_per_atom": 0.0
}


[3]
{
  "formula": "Ta3CoBi",
  "functional": "PBE-GGA",
  "state": "optimized geometry",
  "lattice": [[4.670, 0.000, 0.000], [0.000, 4.670, 0.000], [0.000, 0.000, 4.670]],
  "species": ["Ta", "Ta", "Ta", "Co", "Bi"],
  "fractional_positions": [[0.000, 0.000, 0.500], [0.000, 0.500, 0.000], [0.500, 0.000, 0.000], [0.000, 0.000, 0.000], [0.500, 0.500, 0.500]],
  "crystal_system": "cubic",
  "ef_mev_per_atom": 666.7,
  "e_above_lowest_polymorph_mev_per_atom": 0.0
}


[4]
{
  "formula": "Mg2GaSb",
  "functional": "PBE-GGA",
  "state": "optimized geometry",
  "lattice": [[7.126, 0.000, 0.000], [0.000, 7.126, 0.000], [0.000, 0.000, 7.126]],
  "species": ["Mg", "Mg", "Mg", "Mg", "Mg", "Mg", "Mg", "Mg", "Ga", "Ga", "Ga", "Ga", "Sb", "Sb", "Sb", "Sb"],
  "fractional_positions": [[0.250, 0.250, 0.250], [0.250, 0.250, 0.750], [0.250, 0.750, 0.250], [0.250, 0.750, 0.750], [0.750, 0.250, 0.250], [0.750, 0.250, 0.750], [0.750, 0.750, 0.250], [0.750, 0.750, 0.750], [0.000, 0.000, 0.000], [0.000, 0.500, 0.500], [0.500, 0.000, 0.500], [0.500, 0.500, 0.000], [0.000, 0.000, 0.500], [0.000, 0.500, 0.000], [0.500, 0.000, 0.000], [0.500, 0.500, 0.500]],
  "crystal_system": "cubic",
  "e_above_lowest_polymorph_mev_per_atom": 51.4,
  "formation_energy_uncorrected_mev_per_atom": -110
}


[5]
{
  "formula": "Sr2SiGePt6",
  "functional": "PBE-GGA",
  "state": "optimized geometry",
  "lattice": [[5.662, 0.000, 0.000], [2.821, 6.050, 0.000], [2.822, 0.782, 6.141]],
  "species": ["Sr", "Sr", "Si", "Ge", "Pt", "Pt", "Pt", "Pt", "Pt", "Pt"],
  "fractional_positions": [[0.245, 0.205, 0.305], [0.755, 0.795, 0.695], [0.000, 0.000, 0.000], [0.500, 0.500, 0.500], [0.226, 0.267, 0.783], [0.248, 0.636, 0.867], [0.277, 0.734, 0.216], [0.723, 0.266, 0.784], [0.752, 0.364, 0.133], [0.774, 0.733, 0.217]],
  "crystal_system": "triclinic",
  "formation_energy_uncorrected_mev_per_atom": -759
}


[6]
{
  "formula": "Rb3PdAu2Br9",
  "functional": "PBE-GGA",
  "state": "optimized geometry",
  "lattice": [[7.618, 0.000, 0.000], [-3.809, 6.598, 0.000], [0.000, 0.000, 9.303]],
  "species": ["Rb", "Rb", "Rb", "Pd", "Au", "Au", "Br", "Br", "Br", "Br", "Br", "Br", "Br", "Br", "Br"],
  "fractional_positions": [[0.000, 0.000, 0.000], [0.333, 0.667, 0.666], [0.667, 0.333, 0.334], [0.000, 0.000, 0.500], [0.333, 0.667, 0.170], [0.667, 0.333, 0.830], [0.000, 0.500, 0.000], [0.163, 0.326, 0.339], [0.163, 0.837, 0.339], [0.326, 0.163, 0.661], [0.500, 0.000, 0.000], [0.500, 0.500, 0.000], [0.674, 0.837, 0.339], [0.837, 0.163, 0.661], [0.837, 0.674, 0.661]],
  "crystal_system": "trigonal",
  "formation_energy_uncorrected_mev_per_atom": -828
}


[7]
{
  "formula": "CaSiW2",
  "functional": "PBE-GGA",
  "state": "optimized geometry",
  "lattice": [[3.513, 0.000, 0.000], [0.000, 4.719, 0.000], [0.000, 0.000, 8.654]],
  "species": ["Ca", "Ca", "Si", "Si", "W", "W", "W", "W"],
  "fractional_positions": [[0.000, 0.000, 0.000], [0.500, 0.500, 0.500], [0.000, 0.500, 0.773], [0.500, 0.000, 0.273], [0.000, 0.000, 0.511], [0.000, 0.500, 0.231], [0.500, 0.000, 0.731], [0.500, 0.500, 0.011]],
  "crystal_system": "orthorhombic",
  "formation_energy_uncorrected_mev_per_atom": 621
}


[8]
{
  "formula": "ZrMnFe",
  "functional": "PBE-GGA",
  "state": "optimized geometry",
  "lattice": [[6.032, 0.000, 0.000], [0.000, 6.032, 0.000], [0.000, 0.000, 6.032]],
  "species": ["Zr", "Zr", "Zr", "Zr", "Mn", "Mn", "Mn", "Mn", "Fe", "Fe", "Fe", "Fe"],
  "fractional_positions": [[0.000, 0.000, 0.000], [0.000, 0.500, 0.500], [0.500, 0.000, 0.500], [0.500, 0.500, 0.000], [0.250, 0.250, 0.750], [0.250, 0.750, 0.250], [0.750, 0.250, 0.250], [0.750, 0.750, 0.750], [0.250, 0.250, 0.250], [0.250, 0.750, 0.750], [0.750, 0.250, 0.750], [0.750, 0.750, 0.250]],
  "crystal_system": "cubic",
  "ef_mev_per_atom": 855.8,
  "e_above_lowest_polymorph_mev_per_atom": 1083.5
}


Size of the total moment (computed, μB/f.u.): 0.00; 0.00; 0.00; 0.00; 0.00; 0.00; 0.00; 4.27